[1]
Entry from the Open Quantum Materials Database: crystalline Tm2Lu2Co at its relaxed geometry (PBE).

Summary:
The value obtained for the theoretical density is 9.947 g/cm3. The formation energy from the elements is -0.056 eV per atom.

Lattice parameters (Å, degrees): 6.1192 6.1192 10.3695 112.43 112.43 44.83
With the nearest neighbours (Å) after each atom.
Positions (direct):
Tm (0.0101, 0.0101, 0.1647)  2 Co 2.79, 1 Lu 3.03
Tm (0.3739, 0.3739, 0.3040)  1 Co 2.64
Tm (0.6261, 0.6261, 0.6960)  1 Co 2.64
Tm (0.9899, 0.9899, 0.8353)  2 Co 2.79, 1 Lu 3.03
Lu (0.1486, 0.1486, 0.4848)  3 Co 2.63-2.83
Lu (0.3249, 0.3249, 0.9232)  1 Co 2.87
Lu (0.6751, 0.6751, 0.0768)  1 Co 2.87
Lu (0.8514, 0.8514, 0.5152)  3 Co 2.63-2.83
Co (0.3879, 0.3879, 0.6819)  4 Lu 2.63-2.87, 3 Tm 2.64-2.79
Co (0.6121, 0.6121, 0.3181)  4 Lu 2.63-2.87, 3 Tm 2.64-2.79



[2]
Entry from the Open Quantum Materials Database: crystalline LuCoW at its relaxed geometry (PBE).

Summary:
The value obtained for the theoretical density is 11.390 g/cm3. The polymorph energy (0 for the lowest one) comes out at 2.10 eV per formula unit. The formation energy from the elements is 1.693 eV per atom.

Lattice parameters (Å, degrees): 4.4163 4.4163 4.4163 60.00 60.00 60.00
With the nearest neighbours (Å) after each atom.
Positions (direct):
Lu (0.0000, 0.0000, 0.0000)  4 W 2.70, 4 Co 2.70
Co (0.2500, 0.2500, 0.2500)  4 Lu 2.70
W (0.7500, 0.7500, 0.7500)  4 Lu 2.70



[3]
Entry from the Open Quantum Materials Database: crystalline LuCoW at its relaxed geometry (PBE).

Summary:
The value obtained for the theoretical density is 12.168 g/cm3. The polymorph energy (0 for the lowest one) comes out at 0.00 eV per formula unit. The formation energy from the elements is 0.992 eV per atom.

Lattice parameters (Å, degrees): 4.3200 4.3200 4.3200 60.00 60.00 60.00
With the nearest neighbours (Å) after each atom.
Positions (direct):
Lu (0.0000, 0.0000, 0.0000)  4 W 2.65
Co (0.5000, 0.5000, 0.5000)  4 W 2.65
W (0.7500, 0.7500, 0.7500)  4 Co 2.65, 4 Lu 2.65



[4]
Entry from the Open Quantum Materials Database: crystalline Y2LuCo9 at its relaxed geometry (PBE).

Summary:
The value obtained for the theoretical density is 8.579 g/cm3. The formation energy from the elements is -0.175 eV per atom.

Lattice parameters (Å, degrees): 8.5994 8.5994 8.5994 33.33 33.33 33.33
With the nearest neighbours (Å) after each atom.
Positions (direct):
Y (0.1392, 0.1392, 0.1392)  12 Co 2.85-3.11, 3 Y 3.15
Y (0.8608, 0.8608, 0.8608)  12 Co 2.85-3.11, 3 Y 3.15
Lu (0.0000, 0.0000, 0.0000)  18 Co 2.85-3.15
Co (0.0787, 0.5814, 0.5814)  7 Co 2.40-2.54
Co (0.3345, 0.3345, 0.3345)  6 Co 2.40-2.44
Co (0.4186, 0.4186, 0.9213)  7 Co 2.40-2.54
Co (0.4186, 0.9213, 0.4186)  7 Co 2.40-2.54
Co (0.5000, 0.5000, 0.5000)  6 Co 2.54
Co (0.5814, 0.0787, 0.5814)  7 Co 2.40-2.54
Co (0.5814, 0.5814, 0.0787)  7 Co 2.40-2.54
Co (0.6655, 0.6655, 0.6655)  6 Co 2.40-2.44
Co (0.9213, 0.4186, 0.4186)  7 Co 2.40-2.54



[5]
Entry from the Open Quantum Materials Database: crystalline YLu2Co9 at its relaxed geometry (PBE).

Summary:
The value obtained for the theoretical density is 9.535 g/cm3. The formation energy from the elements is -0.220 eV per atom.

Lattice parameters (Å, degrees): 8.4910 8.4910 8.4910 33.80 33.80 33.80
With the nearest neighbours (Å) after each atom.
Positions (direct):
Y (0.0000, 0.0000, 0.0000)  18 Co 2.85-3.17
Lu (0.1402, 0.1402, 0.1402)  12 Co 2.83-3.00, 3 Lu 3.12
Lu (0.8598, 0.8598, 0.8598)  12 Co 2.83-3.00, 3 Lu 3.12
Co (0.0783, 0.5848, 0.5848)  7 Co 2.42-2.50
Co (0.3351, 0.3351, 0.3351)  6 Co 2.42-2.47
Co (0.4152, 0.4152, 0.9217)  7 Co 2.42-2.50
Co (0.4152, 0.9217, 0.4152)  7 Co 2.42-2.50
Co (0.5000, 0.5000, 0.5000)  6 Co 2.48
Co (0.5848, 0.0783, 0.5848)  7 Co 2.42-2.50
Co (0.5848, 0.5848, 0.0783)  7 Co 2.42-2.50
Co (0.6649, 0.6649, 0.6649)  6 Co 2.42-2.47
Co (0.9217, 0.4152, 0.4152)  7 Co 2.42-2.50



[6]
Entry from the Open Quantum Materials Database: crystalline YLuZnCo at its relaxed geometry (PBE).

Summary:
The value obtained for the theoretical density is 8.620 g/cm3. The polymorph energy (0 for the lowest one) comes out at 0.00 eV per formula unit. The formation energy from the elements is 0.057 eV per atom.

Lattice parameters (Å, degrees): 4.7290 4.7290 4.7290 60.00 60.00 60.00
With the nearest neighbours (Å) after each atom.
Positions (direct):
Y (0.0000, 0.0000, 0.0000)  4 Lu 2.90, 4 Zn 2.90
Lu (0.7500, 0.7500, 0.7500)  4 Y 2.90, 4 Co 2.90
Zn (0.2500, 0.2500, 0.2500)  4 Co 2.90, 4 Y 2.90
Co (0.5000, 0.5000, 0.5000)  4 Lu 2.90, 4 Zn 2.90